Model 1:
Entry from the Alexandria database: a geometry-optimized Hf2HCl2 structure (PBE).

a = 7.0630 Å, b = 7.0630 Å, c = 3.2218 Å
α = 90.00°, β = 90.00°, γ = 90.00°
Sites, in units of the cell vectors:
Cl (0.1391, 0.6391, 0.5000)
Hf (0.6685, 0.1685, 0.0000)
Hf (0.8315, 0.6685, 0.0000)
H (0.0000, 0.0000, 0.0000)
H (0.5000, 0.5000, 0.0000)
Cl (0.3609, 0.1391, 0.5000)
Hf (0.1685, 0.3315, 0.0000)
Hf (0.3315, 0.8315, 0.0000)
Cl (0.6391, 0.8609, 0.5000)
Cl (0.8609, 0.3609, 0.5000)

Computed properties:
* space group: P4/mbm (127)
* theoretical density: 8.862 g cm⁻³
* volume: 80.4 Å³/f.u.

Model 2:
Entry from the Alexandria database: a geometry-optimized Hf2HCl2 structure (PBE).

a = 4.1903 Å, b = 4.1903 Å, c = 6.6832 Å
α = 71.73°, β = 71.73°, γ = 90.00°
Sites, in units of the cell vectors:
Hf (0.6127, 0.6127, 0.7746)
Cl (0.2500, 0.7500, 0.5000)
Hf (0.3873, 0.3873, 0.2254)
H (0.0000, 0.0000, 0.0000)
Cl (0.7500, 0.2500, 0.5000)

Computed properties:
* space group: I4/mmm (139)
* theoretical density: 6.771 g cm⁻³
* volume: 105.2 Å³/f.u.

Which structure is most stable, and how do the rest compare? From most to least stable: model 1, model 2.

Model 1:
Entry from the Alexandria database: a geometry-optimized HfP2HCl structure (PBE).

a = 5.0283 Å, b = 5.0283 Å, c = 5.0584 Å
α = 90.00°, β = 90.00°, γ = 90.00°
Sites, in units of the cell vectors:
Hf (0.0000, 0.0000, 0.0000)
H (0.5000, 0.5000, 0.5000)
P (0.0000, 0.5000, 0.0000)
Cl (0.0000, 0.0000, 0.5000)
P (0.5000, 0.0000, 0.0000)

Computed properties:
* space group: P4/mmm (123)
* theoretical density: 3.595 g cm⁻³
* volume: 127.9 Å³/f.u.

Model 2:
Entry from the Alexandria database: a geometry-optimized HfP2HCl structure (PBE).

a = 3.7766 Å, b = 3.7766 Å, c = 4.8529 Å
α = 90.00°, β = 90.00°, γ = 90.00°
Sites, in units of the cell vectors:
P (0.0000, 0.5000, 0.0000)
Hf (0.5000, 0.5000, 0.5000)
H (0.0000, 0.0000, 0.0000)
P (0.5000, 0.0000, 0.0000)
Cl (0.0000, 0.0000, 0.5000)

Computed properties:
* space group: P4/mmm (123)
* theoretical density: 6.643 g cm⁻³
* volume: 69.2 Å³/f.u.

Which structure is most stable, and how do the rest compare? From most to least stable: model 2, model 1.

Model 1:
Entry from the Alexandria database: a geometry-optimized HfHS2Cl structure (PBE).

a = 3.9218 Å, b = 3.9218 Å, c = 4.6319 Å
α = 90.00°, β = 90.00°, γ = 90.00°
Sites, in units of the cell vectors:
Cl (0.0000, 0.0000, 0.5000)
H (0.0000, 0.0000, 0.0000)
Hf (0.5000, 0.5000, 0.5000)
S (0.0000, 0.5000, 0.0000)
S (0.5000, 0.0000, 0.0000)

Computed properties:
* space group: P4/mmm (123)
* theoretical density: 6.505 g cm⁻³
* volume: 71.2 Å³/f.u.

Model 2:
Entry from the Alexandria database: a geometry-optimized HfHS2Cl structure (PBE).

a = 4.9189 Å, b = 4.9189 Å, c = 5.0812 Å
α = 90.00°, β = 90.00°, γ = 90.00°
Sites, in units of the cell vectors:
Cl (0.0000, 0.0000, 0.5000)
S (0.5000, 0.0000, 0.0000)
S (0.0000, 0.5000, 0.0000)
H (0.5000, 0.5000, 0.5000)
Hf (0.0000, 0.0000, 0.0000)

Computed properties:
* space group: P4/mmm (123)
* theoretical density: 3.769 g cm⁻³
* volume: 122.9 Å³/f.u.

Which structure is most stable, and how do the rest compare? From most to least stable: model 2, model 1.

Model 1:
Entry from the Alexandria database: a geometry-optimized Hg3HCl structure (PBE).

a = 4.7758 Å, b = 4.7758 Å, c = 4.7758 Å
α = 90.00°, β = 90.00°, γ = 90.00°
Sites, in units of the cell vectors:
Hg (0.0000, 0.5000, 0.0000)
Hg (0.5000, 0.0000, 0.0000)
Hg (0.0000, 0.0000, 0.5000)
H (0.0000, 0.0000, 0.0000)
Cl (0.5000, 0.5000, 0.5000)

Computed properties:
* space group: Pm-3m (221)
* theoretical density: 9.730 g cm⁻³
* volume: 108.9 Å³/f.u.

Model 2:
Entry from the Alexandria database: a geometry-optimized Hg3HCl structure (PBE).

a = 9.7622 Å, b = 9.7622 Å, c = 6.9357 Å
α = 72.24°, β = 72.24°, γ = 22.36°
Sites, in units of the cell vectors:
Hg (0.2216, 0.2216, 0.1676)
Cl (0.8960, 0.8960, 0.1494)
Hg (0.6730, 0.6730, 0.5147)
Hg (0.3270, 0.3270, 0.4853)
H (0.5341, 0.5341, 0.2849)
Hg (0.9692, 0.9692, 0.7236)
Hg (0.7784, 0.7784, 0.8324)
Hg (0.0308, 0.0308, 0.2764)
H (0.4659, 0.4659, 0.7151)
Cl (0.1040, 0.1040, 0.8506)

Computed properties:
* space group: C2/m (12)
* theoretical density: 8.868 g cm⁻³
* volume: 119.5 Å³/f.u.

Which structure is most stable, and how do the rest compare? From most to least stable: model 2, model 1.

Model 1:
Entry from the Alexandria database: a geometry-optimized HgP2HCl structure (PBE).

a = 5.0728 Å, b = 5.0728 Å, c = 5.6039 Å
α = 90.00°, β = 90.00°, γ = 90.00°
Sites, in units of the cell vectors:
H (0.5000, 0.5000, 0.5000)
P (0.0000, 0.5000, 0.0000)
Hg (0.0000, 0.0000, 0.0000)
P (0.5000, 0.0000, 0.0000)
Cl (0.0000, 0.0000, 0.5000)

Computed properties:
* space group: P4/mmm (123)
* theoretical density: 3.443 g cm⁻³
* volume: 144.2 Å³/f.u.

Model 2:
Entry from the Alexandria database: a geometry-optimized HgP2HCl structure (PBE).

a = 3.7185 Å, b = 3.7185 Å, c = 7.0865 Å
α = 90.00°, β = 90.00°, γ = 90.00°
Sites, in units of the cell vectors:
P (0.5000, 0.0000, 0.0000)
Hg (0.5000, 0.5000, 0.5000)
H (0.0000, 0.0000, 0.0000)
Cl (0.0000, 0.0000, 0.5000)
P (0.0000, 0.5000, 0.0000)

Computed properties:
* space group: P4/mmm (123)
* theoretical density: 5.067 g cm⁻³
* volume: 98.0 Å³/f.u.

Which structure is most stable, and how do the rest compare? From most to least stable: model 2, model 1.

Model 1:
Entry from the Alexandria database: a geometry-optimized HgHSCl2 structure (PBE).

a = 5.2941 Å, b = 5.2941 Å, c = 5.1010 Å
α = 90.00°, β = 90.00°, γ = 90.00°
Sites, in units of the cell vectors:
Cl (0.0000, 0.5000, 0.0000)
H (0.5000, 0.5000, 0.5000)
S (0.0000, 0.0000, 0.5000)
Hg (0.0000, 0.0000, 0.0000)
Cl (0.5000, 0.0000, 0.0000)

Computed properties:
* space group: P4/mmm (123)
* theoretical density: 3.537 g cm⁻³
* volume: 143.0 Å³/f.u.

Model 2:
Entry from the Alexandria database: a geometry-optimized HgHSCl2 structure (PBE).

a = 5.3015 Å, b = 5.3015 Å, c = 3.3059 Å
α = 90.00°, β = 90.00°, γ = 90.00°
Sites, in units of the cell vectors:
S (0.0000, 0.0000, 0.5000)
H (0.0000, 0.0000, 0.0000)
Cl (0.5000, 0.0000, 0.0000)
Cl (0.0000, 0.5000, 0.0000)
Hg (0.5000, 0.5000, 0.5000)

Computed properties:
* space group: P4/mmm (123)
* theoretical density: 5.443 g cm⁻³
* volume: 92.9 Å³/f.u.

Which structure is most stable, and how do the rest compare? From most to least stable: model 2, model 1.

Model 1:
Entry from the Alexandria database: a geometry-optimized HICl structure (PBE).

a = 4.8950 Å, b = 8.5337 Å, c = 10.3606 Å
α = 110.08°, β = 90.00°, γ = 90.00°
Sites, in units of the cell vectors:
Cl (0.8699, 0.4388, 0.4132)
I (0.9859, 0.2299, 0.8291)
I (0.4859, 0.2701, 0.1709)
H (0.2220, 0.3395, 0.2762)
Cl (0.1301, 0.5612, 0.5868)
I (0.5141, 0.7299, 0.8291)
H (0.2780, 0.8395, 0.2762)
H (0.7780, 0.6605, 0.7238)
Cl (0.6301, 0.9388, 0.4132)
I (0.0141, 0.7701, 0.1709)
H (0.7220, 0.1605, 0.7238)
Cl (0.3699, 0.0612, 0.5868)

Computed properties:
* space group: P2_1/c (14)
* theoretical density: 2.669 g cm⁻³
* volume: 101.6 Å³/f.u.

Model 2:
Entry from the Alexandria database: a geometry-optimized HICl structure (PBE).

a = 7.0073 Å, b = 3.1726 Å, c = 11.2969 Å
α = 90.12°, β = 123.32°, γ = 100.10°
Sites, in units of the cell vectors:
Cl (0.1476, 0.2306, 0.3881)
H (0.9809, 0.1549, 0.6471)
Cl (0.8524, 0.7694, 0.6119)
I (0.4043, 0.4646, 0.1092)
I (0.5957, 0.5354, 0.8908)
H (0.0191, 0.8451, 0.3529)

Computed properties:
* space group: P-1 (2)
* theoretical density: 2.645 g cm⁻³
* volume: 102.6 Å³/f.u.

Which structure is most stable, and how do the rest compare? From most to least stable: model 2, model 1.

Model 1:
Entry from the Alexandria database: a geometry-optimized H3ICl structure (PBE).

a = 4.7624 Å, b = 7.7464 Å, c = 8.3456 Å
α = 90.00°, β = 100.35°, γ = 90.00°
Sites, in units of the cell vectors:
H (0.1601, 0.7500, 0.9762)
H (0.4092, 0.7500, 0.5361)
I (0.5983, 0.7500, 0.1630)
H (0.2600, 0.7500, 0.5539)
I (0.4017, 0.2500, 0.8370)
H (0.5908, 0.2500, 0.4639)
Cl (0.9084, 0.7500, 0.8734)
Cl (0.0916, 0.2500, 0.1266)
H (0.7400, 0.2500, 0.4461)
H (0.8399, 0.2500, 0.0238)

Computed properties:
* space group: P2_1/m (11)
* theoretical density: 1.813 g cm⁻³
* volume: 151.4 Å³/f.u.

Model 2:
Entry from the Alexandria database: a geometry-optimized H3ICl structure (PBE).

a = 3.9450 Å, b = 3.9450 Å, c = 3.9450 Å
α = 90.00°, β = 90.00°, γ = 90.00°
Sites, in units of the cell vectors:
I (0.5000, 0.5000, 0.5000)
H (0.5000, 0.0000, 0.0000)
Cl (0.0000, 0.0000, 0.0000)
H (0.0000, 0.0000, 0.5000)
H (0.0000, 0.5000, 0.0000)

Computed properties:
* space group: Pm-3m (221)
* theoretical density: 4.473 g cm⁻³
* volume: 61.4 Å³/f.u.

Which structure is most stable, and how do the rest compare? From most to least stable: model 1, model 2.